The following is a PBE with a Hubbard U calculation of a relaxed CaVAg2O4 crystal, from Alexandria.

Cell lengths 6.9185, 6.9282, 11.1671 Å; angles 90.00, 90.00, 90.00 degrees
Space group Fmm2 (No. 42)
Symmetry-distinct sites (fractional):
Ca: 0.0000 0.0000 0.0000
V: 0.0000 0.0000 0.5005
Ag: 0.2500 0.2500 0.2503
O: 0.0000 0.2070 0.4091
O: 0.2074 0.0000 0.5919

Properties
For the total energy, the calculation gives -5.817 eV per atom. The value obtained for the density of states at the Fermi level is 0.207 states/eV per atom.